This record from Alexandria via LeMat-Bulk describes crystalline SrLi3Si2 at its relaxed geometry. The functional is GGA-PBE.

Results
Volume ... 258 Å³ per cell
Space group ... P2_1/m
E_tot ... -3.258 eV per atom

Cell: 6.1609 6.1485 7.4684 Å, 114.45 90.00 90.00°
Last column: nearest neighbours and their distance in Å.
Sites, in units of the cell vectors:
Si 0.4367 0.6588 0.8198  1 Si 2.30
Si 0.0633 0.6588 0.8198  1 Si 2.30
Si 0.9367 0.3412 0.1802  1 Si 2.30
Si 0.5633 0.3412 0.1802  1 Si 2.30
Sr 0.7500 0.8924 0.2832  8 Li 3.19-3.57, 4 Si 3.35-3.36
Sr 0.2500 0.1076 0.7168  8 Li 3.19-3.57, 4 Si 3.35-3.36
Li 0.2500 0.0361 0.1163  4 Si 2.59-2.71, 2 Li 2.80-2.83
Li 0.2500 0.5815 0.1172  4 Si 2.59-2.71, 2 Li 2.80-2.84
Li 0.7500 0.5240 0.5472  4 Si 2.68-2.75, 2 Li 2.83-2.84
Li 0.7500 0.4185 0.8828  4 Si 2.59-2.71, 2 Li 2.80-2.84
Li 0.7500 0.9639 0.8837  4 Si 2.59-2.71, 2 Li 2.80-2.83
Li 0.2500 0.4760 0.4528  4 Si 2.68-2.75, 2 Li 2.83-2.84

=====

This record from Alexandria via LeMat-Bulk describes crystalline SrLi2Si2 at its relaxed geometry. The functional is GGA-PBE.

Results
Polymorph energy (0 for the lowest one) ... 192.7 meV per atom
Volume ... 188 Å³ per cell
Space group ... P4/mbm
E_tot ... -3.389 eV per atom

Cell: 8.0328 8.0328 2.9174 Å, 90.00 90.00 90.00°
Last column: nearest neighbours and their distance in Å.
Sites, in units of the cell vectors:
Si 0.6735 0.8265 0.5000  6 Li 2.79, 2 Si 2.92
Si 0.3265 0.1735 0.5000  6 Li 2.79, 2 Si 2.92
Si 0.1735 0.6735 0.5000  6 Li 2.79, 2 Si 2.92
Si 0.8265 0.3265 0.5000  6 Li 2.79, 2 Si 2.92
Li 0.1171 0.3829 0.0000  3 Li 2.66-2.92, 6 Si 2.79
Li 0.6171 0.1171 0.0000  3 Li 2.66-2.92, 6 Si 2.79
Li 0.8829 0.6171 0.0000  3 Li 2.66-2.92, 6 Si 2.79
Li 0.3829 0.8829 0.0000  3 Li 2.66-2.92, 6 Si 2.79
Sr 0.5000 0.5000 0.0000  2 Sr 2.92, 4 Li 3.22
Sr 0.0000 0.0000 0.0000  2 Sr 2.92, 4 Li 3.22

=====

This record from Alexandria via LeMat-Bulk describes crystalline Sr5Li4Si4 at its relaxed geometry. The functional is GGA-PBE.

Results
Volume ... 347 Å³ per cell
Space group ... I4/m
E_tot ... -3.145 eV per atom

Cell: 4.2172 9.3101 9.3101 Å, 87.06 76.91 76.91°
Last column: nearest neighbours and their distance in Å.
Sites, in units of the cell vectors:
Si 0.9429 0.7984 0.3159  3 Li 2.79-2.90
Si 0.2588 0.6841 0.7984  3 Li 2.79-2.90
Si 0.0571 0.2016 0.6841  3 Li 2.79-2.90
Si 0.7412 0.3159 0.2016  3 Li 2.79-2.90
Sr 0.3699 0.3447 0.9155  5 Si 3.25-3.35, 3 Li 3.40-3.58
Sr 0.7146 0.9155 0.6553  5 Si 3.25-3.35, 3 Li 3.40-3.58
Sr 0.6301 0.6553 0.0845  5 Si 3.25-3.35, 3 Li 3.40-3.58
Sr 0.2854 0.0845 0.3447  5 Si 3.25-3.35, 3 Li 3.40-3.58
Sr 0.0000 0.0000 0.0000  4 Si 3.40
Li 0.1008 0.4783 0.3201  3 Si 2.79-2.90
Li 0.8992 0.5217 0.6799  3 Si 2.79-2.90
Li 0.5791 0.3201 0.5217  3 Si 2.79-2.90
Li 0.4209 0.6799 0.4783  3 Si 2.79-2.90